[1]
Hf2UTc4 | PBE-GGA | optimized geometry

Geometry as POSCAR:
```
Hf2UTc4
1.0
5.239 0.036 -1.822
-2.601 4.515 -1.903
0.021 -0.036 5.547
U Tc Hf
1 4 2
Cartesian
0.000 0.000 0.000
1.329 2.257 0.911
0.010 -0.018 2.773
2.620 0.018 -0.911
-1.301 2.257 -0.952
1.319 2.275 -1.863
2.630 0.000 1.863
```

Computed properties:
Mass density = 12.477 g/cm³
Symmetry = No. 139
Total magnetization = 0.00 μB per cell
DFT formation energy = 1.05 eV per formula unit


[2]
LiHo2TlSe4 | PBE-GGA | optimized geometry

Geometry as POSCAR:
```
LiHo2TlSe4
1.0
-1.674 -0.508 3.774
6.661 -2.889 0.274
5.437 12.927 4.153
Se Ho Tl Li
8 4 2 2
Cartesian
0.000 0.000 0.000
9.066 7.002 4.965
6.758 9.813 6.612
5.201 6.112 5.423
1.357 2.527 3.235
3.665 -0.283 1.588
5.222 3.418 2.777
2.718 6.463 2.076
9.362 9.825 5.476
7.317 4.965 3.915
3.106 4.565 4.285
1.061 -0.295 2.724
5.120 0.496 4.631
5.303 9.034 3.569
7.082 7.368 6.427
3.341 2.162 1.773
```

Computed properties:
Mass density = 6.720 g/cm³
Symmetry = No. 63
Total magnetization = 0.00 μB per cell
Raw formation energy = -1505 meV/atom


[3]
LaNd2H7 | PBE-GGA | optimized geometry

Geometry as POSCAR:
```
LaNd2H7
1.0
3.799 0.000 -0.731
-0.141 3.796 -0.731
-0.288 -0.298 8.742
Nd H La
2 7 1
Cartesian
2.346 2.434 1.953
1.025 1.064 5.327
1.829 1.898 -0.731
0.205 2.184 1.065
1.196 3.212 6.215
3.166 1.314 6.215
2.670 0.800 3.640
2.175 0.286 1.065
0.700 2.698 3.640
0.000 0.000 0.000
```

Computed properties:
Mass density = 5.799 g/cm³
Symmetry = No. 139
Total magnetization = 0.00 μB per cell
DFT total energy = -4.417 eV per atom


[4]
MgAg3As | PBE-GGA | optimized geometry

Geometry as POSCAR:
```
MgAg3As
1.0
5.002 0.000 0.000
0.000 5.002 0.000
0.000 0.000 5.002
Ag As Mg
3 1 1
Cartesian
2.501 0.000 0.000
0.000 2.501 0.000
0.000 0.000 2.501
0.000 0.000 0.000
2.501 2.501 2.501
```

Computed properties:
Mass density = 5.609 g/cm³
Energy above the lowest structure with this stoichiometry = 0.000 eV per atom
Symmetry = No. 221
Total magnetization = 0.00 μB per cell
DFT formation energy = 1.54 eV per formula unit


[5]
Tm5Mg2Al | PBE-GGA | optimized geometry

Geometry as POSCAR:
```
Tm5Mg2Al
1.0
-4.177 6.774 -1.956
-7.049 -3.961 1.336
5.738 0.447 6.463
Tm Mg Al
10 4 2
Cartesian
-5.226 -0.948 2.551
-2.994 0.943 4.332
-3.746 5.081 3.100
-2.494 2.317 1.512
-0.262 4.208 3.293
-1.603 5.649 0.490
-5.613 1.407 -0.310
-3.886 -2.388 5.354
0.000 0.000 0.000
-1.742 -1.821 2.743
-3.619 3.771 -1.063
-7.606 -0.957 0.443
-8.093 3.330 -0.839
-3.133 -0.516 0.219
-5.551 2.334 2.767
0.062 0.927 3.077
```

Computed properties:
Mass density = 7.080 g/cm³
Symmetry = No. 140
Total magnetization = 0.00 μB per cell
DFT formation energy = -0.09 eV per formula unit


[6]
Pm4PrH10 | PBE-GGA | optimized geometry

Geometry as POSCAR:
```
Pm4PrH10
1.0
3.815 0.000 0.469
1.879 3.320 0.469
-0.012 -0.007 15.858
H Pm Pr
10 4 1
Cartesian
5.401 3.150 3.315
3.693 2.154 1.456
1.987 1.159 15.340
0.280 0.163 13.481
1.418 0.827 4.219
4.833 2.819 7.934
0.847 0.494 8.861
3.124 1.822 6.089
2.557 1.491 10.706
4.263 2.486 12.577
4.548 2.652 10.256
2.271 1.325 13.029
1.133 0.660 6.539
3.409 1.988 3.767
0.000 0.000 0.000
```

Computed properties:
Mass density = 6.043 g/cm³
Symmetry = No. 166
Total magnetization = 0.00 μB per cell
DFT total energy = -4.479 eV per atom